The following is a DFT calculation (meta-GGA SCAN) of a crystal of Na2Al2Sb3 relaxed with PBEsol.

Computed properties:
Theoretical density: 3.995 g cm⁻³
Formation energy without anion corrections: -341 meV/atom

```
56
Lattice="14.057 0.000 0.000 0.000 7.154 0.000 -0.127 0.000 15.385" Properties=species:S:1:pos:R:3 pbc="T T T"
Na 0.818 0.348 1.570
Na 0.754 3.229 9.262
Na 2.076 4.000 0.325
Na 2.012 6.730 8.018
Na 5.134 0.300 0.178
Na 5.071 3.276 7.870
Na 5.923 3.821 1.758
Na 5.860 6.909 9.451
Na 8.070 0.244 5.935
Na 8.007 3.333 13.627
Na 8.859 3.877 7.515
Na 8.796 6.853 15.208
Na 11.918 0.423 7.368
Na 11.854 3.153 15.060
Na 13.176 3.925 6.123
Na 13.112 6.806 13.816
Al 1.297 5.187 4.041
Al 1.234 5.543 11.733
Al 2.582 1.492 5.205
Al 2.518 2.085 12.898
Al 4.364 5.244 5.101
Al 4.301 5.486 12.794
Al 5.634 1.481 4.187
Al 5.570 2.095 11.880
Al 8.359 5.058 3.505
Al 8.296 5.672 11.198
Al 9.629 1.667 2.591
Al 9.566 1.910 10.284
Al 11.412 5.069 2.488
Al 11.348 5.662 10.180
Al 12.696 1.610 3.652
Al 12.633 1.967 11.345
Sb 0.234 0.161 5.282
Sb 0.171 3.416 12.974
Sb 2.255 3.921 6.258
Sb 2.192 6.810 13.951
Sb 3.416 1.663 2.656
Sb 3.353 1.913 10.348
Sb 3.457 4.823 10.293
Sb 3.521 5.908 2.600
Sb 4.755 0.337 6.471
Sb 4.692 3.240 14.163
Sb 6.632 3.788 5.119
Sb 6.568 6.943 12.812
Sb 7.362 0.211 2.574
Sb 7.298 3.366 10.266
Sb 9.238 3.914 1.222
Sb 9.175 6.817 8.915
Sb 10.409 1.246 12.785
Sb 10.472 2.331 5.093
Sb 10.577 5.240 5.037
Sb 10.514 5.490 12.730
Sb 11.738 0.344 1.435
Sb 11.674 3.233 9.127
Sb 13.759 3.738 2.411
Sb 13.695 6.992 10.104
```



The following is a DFT calculation (meta-GGA SCAN) of a crystal of NaScTaAl2 relaxed with PBEsol.

Computed properties:
Theoretical density: 4.817 g cm⁻³
E_tot: -18.726 eV/atom

```
5
Lattice="4.641 0.000 0.000 0.000 4.641 0.000 0.000 0.000 4.848" Properties=species:S:1:pos:R:3 pbc="T T T"
Na 0.000 0.000 0.000
Sc 2.320 2.320 2.424
Ta 0.000 0.000 2.424
Al 0.000 2.320 0.000
Al 2.320 0.000 0.000
```



The following is a DFT calculation (meta-GGA SCAN) of a crystal of Na3AlSe3 relaxed with PBEsol.

Computed properties:
Theoretical density: 3.150 g cm⁻³
Formation energy without anion corrections: -1261 meV/atom

```
28
Lattice="7.442 0.000 0.000 0.000 7.177 0.000 -7.331 0.000 13.140" Properties=species:S:1:pos:R:3 pbc="T T T"
Na -1.636 0.182 3.736
Na -5.301 3.407 10.306
Na -2.452 3.623 8.016
Na 1.214 7.142 1.446
Na -2.082 0.036 7.882
Na 1.583 3.552 1.312
Na -1.472 3.625 11.827
Na 2.193 7.141 5.258
Na -1.103 0.035 11.694
Na 2.562 3.554 5.124
Na 5.412 3.770 2.834
Na 1.747 6.995 9.404
Al -0.564 4.593 5.511
Al -4.230 6.172 12.081
Al 4.340 1.005 1.059
Al 0.675 2.584 7.629
Se -6.427 5.337 12.179
Se -2.761 5.429 5.609
Se -4.230 1.439 12.188
Se -0.564 2.149 5.619
Se 0.578 5.294 3.573
Se -3.088 5.472 10.143
Se 3.199 1.706 2.997
Se -0.467 1.883 9.567
Se 0.675 5.028 7.521
Se 4.341 5.738 0.951
Se 2.872 1.748 7.531
Se 6.538 1.840 0.961
```



The following is a DFT calculation (meta-GGA SCAN) of a crystal of NaAlWSe2 relaxed with PBEsol.

Computed properties:
Theoretical density: 5.301 g cm⁻³
Formation energy without anion corrections: 765 meV/atom

```
5
Lattice="5.005 0.000 0.000 0.000 5.005 0.000 0.000 0.000 4.899" Properties=species:S:1:pos:R:3 pbc="T T T"
Na 0.000 0.000 0.000
Al 2.502 2.502 2.449
W 2.502 2.502 0.000
Se 0.000 2.502 2.449
Se 2.502 0.000 2.449
```



- Look up the theoretical density of the second one.
  4.817 g cm⁻³